VASP calculation (meta-GGA SCAN) on a crystal of Na8HfMo6O24 relaxed with PBEsol.

- Crystal system: monoclinic
- Energy: -1093.1 eV per cell

Cell and atoms, written as CIF:
```
data_Na8HfMo6O24
_space_group_name_H-M_alt 'P 1 21/c 1'
_space_group_IT_number 14
_cell_length_a 9.708
_cell_length_b 11.421
_cell_length_c 11.801
_cell_angle_alpha 90.00
_cell_angle_beta 118.28
_cell_angle_gamma 90.00
loop_
_space_group_symop_operation_xyz
'x,y,z'
'-x,-y,-z'
'-x,y+1/2,-z+1/2'
'x,-y+1/2,z+1/2'
loop_
_atom_site_label
_atom_site_type_symbol
_atom_site_fract_x
_atom_site_fract_y
_atom_site_fract_z
Na1 Na 0.083 0.216 0.400
Na2 Na 0.167 0.533 0.370
Na3 Na 0.275 0.683 0.692
Na4 Na 0.338 0.067 0.710
Hf1 Hf 0.500 0.000 0.500
Mo1 Mo 0.104 0.601 0.913
Mo2 Mo 0.225 0.109 0.180
Mo3 Mo 0.488 0.184 0.002
O1 O 0.069 0.019 0.645
O2 O 0.082 0.115 0.229
O3 O 0.105 0.704 0.022
O4 O 0.108 0.673 0.784
O5 O 0.173 0.000 0.063
O6 O 0.248 0.245 0.122
O7 O 0.281 0.508 0.992
O8 O 0.288 0.154 0.910
O9 O 0.408 0.061 0.316
O10 O 0.413 0.586 0.371
O11 O 0.435 0.672 0.603
O12 O 0.476 0.668 0.928
```